Compound: Ac6Nd3Er
Source: Alexandria
Functional: GGA-PBE
Structure: relaxed

Calculated values
For the volume, the calculation gives 41.38 A^3/atom. The value obtained for the formation energy is 0.215 eV/atom.

Cell: 12.1726 7.4596 9.4261 Å, 90.00 104.76 90.00°
Space group C2/m (No. 12)
Inequivalent atoms, fractional coordinates:
Ac 0.1294 0.0000 0.4065 x4
Ac 0.1669 0.2551 0.7982 x8
Nd 0.0000 0.5000 0.5000 x2
Nd 0.0873 0.5000 0.1606 x4
Er 0.0000 0.0000 0.0000 x2



Compound: AcNd9Er2
Source: Alexandria
Functional: GGA-PBE
Structure: relaxed

Calculated values
For the volume, the calculation gives 35.15 A^3/atom. The value obtained for the formation energy is 0.024 eV/atom.

Cell: 5.1966 5.1966 15.6190 Å, 90.00 90.00 90.00°
Space group P4/mmm (No. 123)
Inequivalent atoms, fractional coordinates:
Ac 0.0000 0.0000 0.0000 x1
Nd 0.0000 0.5000 0.1742 x4
Nd 0.0000 0.5000 0.5000 x2
Nd 0.5000 0.5000 0.0000 x1
Nd 0.5000 0.5000 0.3385 x2
Er 0.0000 0.0000 0.3368 x2



Compound: Ac3Nd2Er
Source: Alexandria
Functional: GGA-PBE
Structure: relaxed

Calculated values
For the volume, the calculation gives 39.11 A^3/atom. The value obtained for the formation energy is 0.059 eV/atom.

Cell: 6.6532 6.6532 12.2433 Å, 90.00 90.00 120.00°
Space group P6_3/mcm (No. 193)
Inequivalent atoms, fractional coordinates:
Ac 0.0000 0.3309 0.2500 x6
Nd 0.3333 0.6667 0.0000 x4
Er 0.0000 0.0000 0.0000 x2



Compound: Ac3Nd6Er
Source: Alexandria
Functional: GGA-PBE
Structure: relaxed

Calculated values
For the volume, the calculation gives 39.08 A^3/atom. The value obtained for the formation energy is 0.340 eV/atom.

Cell: 10.2106 10.2106 12.9852 Å, 90.00 90.00 120.00°
Space group R-3 (No. 148, hexagonal axes)
Inequivalent atoms, fractional coordinates:
Ac 0.0000 0.0000 0.0000 x3
Ac 0.0000 0.0000 0.2577 x6
Nd 0.9998 0.3261 0.5777 x18
Er 0.0000 0.0000 0.5000 x3



Compound: Ac2Nd5Er
Source: Alexandria
Functional: GGA-PBE
Structure: relaxed

Calculated values
For the volume, the calculation gives 36.74 A^3/atom. The value obtained for the formation energy is 0.029 eV/atom. The energy above the lowest structure with this stoichiometry comes out at 0 meV per atom.

Cell: 7.4580 14.9520 5.2714 Å, 90.00 90.00 90.00°
Space group Pbam (No. 55)
Inequivalent atoms, fractional coordinates:
Ac 0.2474 0.1242 0.0000 x4
Nd 0.0000 0.5000 0.5000 x2
Nd 0.0034 0.7515 0.5000 x4
Nd 0.2484 0.3756 0.0000 x4
Er 0.0000 0.0000 0.5000 x2



Compound: AcNdEr4
Source: Alexandria
Functional: GGA-PBE
Structure: relaxed

Calculated values
For the volume, the calculation gives 33.33 A^3/atom. The value obtained for the formation energy is 0.044 eV/atom. The energy above the lowest structure with this stoichiometry comes out at 0 meV per atom.

Cell: 12.4020 7.2884 8.8527 Å, 90.00 91.36 90.00°
Space group C2/m (No. 12)
Inequivalent atoms, fractional coordinates:
Ac 0.0890 0.0000 0.3300 x4
Nd 0.0867 0.5000 0.3298 x4
Er 0.0000 0.2540 0.0000 x4
Er 0.1631 0.2503 0.6756 x8
Er 0.2479 0.5000 0.0021 x4



Compound: AcNdEr5
Source: Alexandria
Functional: GGA-PBE
Structure: relaxed

Calculated values
For the volume, the calculation gives 33.70 A^3/atom. The value obtained for the formation energy is 0.096 eV/atom.

Cell: 8.9513 9.8004 11.4809 Å, 90.00 110.46 90.00°
Space group C2/c (No. 15)
Inequivalent atoms, fractional coordinates:
Ac 0.2500 0.2500 0.0000 x4
Nd 0.0000 0.2334 0.2500 x4
Er 0.0000 0.4258 0.7500 x4
Er 0.1281 0.0760 0.6667 x8
Er 0.1671 0.3959 0.5354 x8



Compound: AcNd3Er3
Source: Alexandria
Functional: GGA-PBE
Structure: relaxed

Calculated values
For the volume, the calculation gives 36.62 A^3/atom. The value obtained for the formation energy is 0.209 eV/atom. The energy above the lowest structure with this stoichiometry comes out at 167 meV per atom.

Cell: 10.0813 10.0833 10.0885 Å, 90.54 90.55 90.58°
Space group P1 (No. 1)
Inequivalent atoms, fractional coordinates:
Ac 0.0000 0.0000 0.0000 x1
Ac 0.0012 0.7453 0.2567 x1
Ac 0.2555 0.7437 0.9996 x1
Ac 0.8626 0.6067 0.8623 x1
Nd 0.0167 0.0065 0.5260 x1
Nd 0.0168 0.2690 0.2625 x1
Nd 0.2622 0.2697 0.0170 x1
Nd 0.2622 0.7609 0.5261 x1
Nd 0.2667 0.4993 0.7553 x1
Nd 0.5251 0.0064 0.0171 x1
Nd 0.5253 0.2694 0.7694 x1
Nd 0.5253 0.5135 0.5251 x1
Nd 0.5247 0.7611 0.2624 x1
Nd 0.7554 0.0107 0.7555 x1
Nd 0.7560 0.5002 0.2662 x1
Nd 0.7693 0.2694 0.5251 x1
Er 0.0158 0.2608 0.7633 x1
Er 0.0159 0.5073 0.5165 x1
Er 0.2665 0.2588 0.5147 x1
Er 0.2815 0.0257 0.7670 x1
Er 0.2813 0.5110 0.2816 x1
Er 0.5148 0.0106 0.5148 x1
Er 0.5151 0.2593 0.2664 x1
Er 0.5165 0.5074 0.0158 x1
Er 0.5166 0.7600 0.7633 x1
Er 0.7632 0.2607 0.0159 x1
Er 0.7631 0.7601 0.5164 x1
Er 0.7668 0.0255 0.2815 x1



Compound: AcNdEr4
Source: Alexandria
Functional: GGA-PBE
Structure: relaxed

Calculated values
For the volume, the calculation gives 35.89 A^3/atom. The value obtained for the formation energy is 0.271 eV/atom. The energy above the lowest structure with this stoichiometry comes out at 227 meV per atom.

Cell: 9.5149 9.5149 9.5149 Å, 90.00 90.00 90.00°
Space group F-43m (No. 216)
Inequivalent atoms, fractional coordinates:
Ac 0.0000 0.0000 0.0000 x4
Nd 0.2500 0.2500 0.7500 x4
Er 0.1243 0.1243 0.3757 x16



Compound: Ac12Nd6Er
Source: Alexandria
Functional: GGA-PBE
Structure: relaxed

Calculated values
For the volume, the calculation gives 41.14 A^3/atom. The value obtained for the formation energy is 0.040 eV/atom.

Cell: 16.8599 16.8599 9.5252 Å, 90.00 90.00 120.00°
Space group R-3 (No. 148, hexagonal axes)
Inequivalent atoms, fractional coordinates:
Ac 0.0345 0.2764 0.3422 x18
Ac 0.0735 0.5632 0.6648 x18
Nd 0.0159 0.1340 0.6673 x18
Er 0.0000 0.0000 0.0000 x3



Compound: Ac2Nd5Er
Source: Alexandria
Functional: GGA-PBE
Structure: relaxed

Calculated values
For the volume, the calculation gives 36.92 A^3/atom. The value obtained for the formation energy is 0.033 eV/atom. The energy above the lowest structure with this stoichiometry comes out at 4 meV per atom.

Cell: 5.3092 5.3092 20.9542 Å, 90.00 90.00 90.00°
Space group I4/mmm (No. 139)
Inequivalent atoms, fractional coordinates:
Ac 0.0000 0.0000 0.2500 x4
Nd 0.0000 0.0000 0.0000 x2
Nd 0.0000 0.5000 0.1187 x8
Er 0.0000 0.0000 0.5000 x2



Compound: Ac2Nd4Er3
Source: Alexandria
Functional: GGA-PBE
Structure: relaxed

Calculated values
For the volume, the calculation gives 35.65 A^3/atom. The value obtained for the formation energy is 0.047 eV/atom.

Cell: 11.7034 5.2423 11.0347 Å, 90.00 108.60 90.00°
Space group C2/m (No. 12)
Inequivalent atoms, fractional coordinates:
Ac 0.1666 0.0000 0.2255 x4
Nd 0.0021 0.5000 0.3374 x4
Nd 0.1664 0.0000 0.8876 x4
Er 0.0000 0.5000 0.0000 x2
Er 0.1625 0.0000 0.5537 x4